## LiPm2Sn3Pd6 (PBE)

Data for an optimized crystal structure of LiPm2Sn3Pd6.

Lattice parameters (Å, degrees): 4.084 4.084 16.607 90.00 90.00 90.00
Space group P4/mmm (No. 123)
Unique sites:
Li: 0.000 0.000 0.000
Pm: 0.000 0.000 0.291
Sn: 0.500 0.500 0.186
Sn: 0.500 0.500 0.500
Pd: 0.000 0.500 0.087
Pd: 0.500 0.500 0.346

Calculated values
As for the formation energy: -402 meV/atom. As for the total moment: 0.0 μB/f.u.

=====

## CaAcAsH (PBE)

Data for an optimized crystal structure of CaAcAsH.

Lattice parameters (Å, degrees): 7.225 7.225 7.225 90.00 90.00 90.00
Space group F-43m (No. 216)
Unique sites:
Ca: 0.000 0.000 0.000
Ac: 0.000 0.000 0.500
As: 0.250 0.250 0.250
H: 0.250 0.250 0.750

Calculated values
The calculated total energy comes out at -4.14 eV/atom. As for the total moment: 0.0 μB/f.u.

=====

## YCo3N (PBE)

Data for an optimized crystal structure of YCo3N.

Lattice parameters (Å, degrees): 4.736 4.736 4.736 90.00 90.00 90.00
Space group Pm-3m (No. 221)
Unique sites:
Y: 0.000 0.000 0.000
Co: 0.000 0.000 0.500
N: 0.500 0.500 0.500

Calculated values
The energy above the most stable polymorph in this dataset comes out at 2.957 eV per atom. The calculation puts the energy relative to the elements, uncorrected at 14.04 eV per formula unit. As for the total moment: 5.1 μB/f.u.

=====

## Rb3Sm2PaTe6 (PBE)

Data for an optimized crystal structure of Rb3Sm2PaTe6.

Lattice parameters (Å, degrees): 7.893 13.670 9.022 90.00 106.95 90.00
Space group C2/m (No. 12)
Unique sites:
Rb: 0.000 0.000 0.000
Rb: 0.000 0.332 0.000
Sm: 0.000 0.166 0.500
Pa: 0.000 0.500 0.500
Te: 0.233 0.335 0.704
Te: 0.239 0.000 0.705

Calculated values
The calculation puts the energy relative to the elements, uncorrected at -14.67 eV per formula unit. As for the total moment: 1.9 μB/f.u.

=====

## HoCdAg (PBE)

Data for an optimized crystal structure of HoCdAg.

Lattice parameters (Å, degrees): 3.771 3.771 9.644 90.00 90.00 90.00
Space group I4mm (No. 107)
Unique sites:
Ho: 0.000 0.000 0.000
Cd: 0.000 0.000 0.677
Ag: 0.000 0.000 0.330

Calculated values
As for the formation energy: -247 meV/atom. As for the total moment: 0.0 μB/f.u.

=====

## TiMn2TcH (PBE)

Data for an optimized crystal structure of TiMn2TcH.

Lattice parameters (Å, degrees): 3.686 3.686 4.137 90.00 90.00 90.00
Space group P4/mmm (No. 123)
Unique sites:
Ti: 0.000 0.000 0.000
Mn: 0.000 0.500 0.500
Tc: 0.500 0.500 0.000
H: 0.500 0.500 0.500

Calculated values
The energy above the most stable polymorph in this dataset comes out at 0.034 eV per atom. As for the total moment: 4.1 μB/f.u.

=====

## Sc2FeMo (PBE)

Data for an optimized crystal structure of Sc2FeMo.

Lattice parameters (Å, degrees): 3.0489 3.0489 27.3035 90.00 90.00 120.00
Space group R3m (No. 160, hexagonal axes)
Unique sites:
Sc: 0.0000 0.0000 0.0000
Sc: 0.0000 0.0000 0.2261
Fe: 0.0000 0.0000 0.7427
Mo: 0.0000 0.0000 0.4757

Calculated values
The energy above the most stable polymorph in this dataset comes out at 0.259 eV per atom. As for the formation energy: 284 meV/atom. As for the total moment: 1.2 μB/f.u.

=====

## MnCuS2 (PBE)

Data for an optimized crystal structure of MnCuS2.

Lattice parameters (Å, degrees): 6.934 3.384 11.940 90.00 90.00 90.00
Space group Pnma (No. 62)
Unique sites:
Mn: 0.125 0.250 0.124
Cu: 0.047 0.750 0.423
S: 0.016 0.750 0.237
S: 0.232 0.750 0.994

Calculated values
The calculation puts the energy relative to the elements, uncorrected at -1.23 eV per formula unit. As for the total moment: 4.0 μB/f.u.

=====

Look up the total moment of the sixth one. 4.1 μB/f.u.

=====

Which formula does entry 5 have? HoCdAg

=====

The highest total moment belongs to which entry? YCo3N